An optimized crystal structure of MgTeI6, computed with PBE-GGA.

Summary:
Distance to the lowest polymorph of the same formula   14 kJ/mol of formula units
ΔE_f (raw)   -0.362 eV per atom
Magnetic moment   0.00 μB/cell

Cell and atoms, written as CIF:
```
data_MgTeI6
_space_group_name_H-M_alt 'R -3'
_space_group_IT_number 148
_space_group_name_Hall '-R 3'
_cell_length_a 7.4774
_cell_length_b 7.4774
_cell_length_c 19.7838
_cell_angle_alpha 90.00
_cell_angle_beta 90.00
_cell_angle_gamma 120.00
loop_
_atom_site_label
_atom_site_type_symbol
_atom_site_fract_x
_atom_site_fract_y
_atom_site_fract_z
Mg1 Mg 0.0000 0.0000 0.0000
Te1 Te 0.0000 0.0000 0.5000
I1 I 0.0020 0.3318 0.0814
```